(1)
Entry from the Alexandria database: crystalline CrBH2 at its relaxed geometry (PBE). Values from VASP.

Summary:
The polymorph energy (0 for the lowest one) comes out at 4.52 kcal/mol of atoms. As for the crystal system: cubic.

Quantum ESPRESSO input file:
```
&SYSTEM
  ibrav = 0, nat = 4, ntyp = 3
/
ATOMIC_SPECIES
B 10.81 B.upf
H 1.01 H.upf
Cr 52.00 Cr.upf
CELL_PARAMETERS angstrom
0.0000 2.2411 2.2411
2.2411 0.0000 2.2411
2.2411 2.2411 0.0000
ATOMIC_POSITIONS crystal
B 0.0000 0.0000 0.0000
H 0.2500 0.2500 0.2500
H 0.7500 0.7500 0.7500
Cr 0.5000 0.5000 0.5000
```

(2)
Entry from the Alexandria database: crystalline CrB3H at its relaxed geometry (PBE). Values from VASP.

Summary:
The polymorph energy (0 for the lowest one) comes out at 0.00 kcal/mol of atoms. As for the crystal system: cubic.

Quantum ESPRESSO input file:
```
&SYSTEM
  ibrav = 0, nat = 5, ntyp = 3
/
ATOMIC_SPECIES
B 10.81 B.upf
Cr 52.00 Cr.upf
H 1.01 H.upf
CELL_PARAMETERS angstrom
-1.0643 2.1469 2.0384
1.1827 -1.6775 2.3843
2.7140 1.5729 -0.2396
ATOMIC_POSITIONS crystal
B 0.0000 0.0000 0.5000
B 0.5000 0.0000 0.0000
B 0.0000 0.5000 0.0000
Cr 0.5000 0.5000 0.5000
H 0.0000 0.0000 0.0000
```

(3)
Entry from the Alexandria database: crystalline CrB3H at its relaxed geometry (PBE). Values from VASP.

Summary:
The polymorph energy (0 for the lowest one) comes out at 22.10 kcal/mol of atoms. As for the crystal system: cubic.

Quantum ESPRESSO input file:
```
&SYSTEM
  ibrav = 0, nat = 5, ntyp = 3
/
ATOMIC_SPECIES
B 10.81 B.upf
Cr 52.00 Cr.upf
H 1.01 H.upf
CELL_PARAMETERS angstrom
-2.3511 2.5315 -1.7836
1.3196 -1.2069 -3.4524
-2.8015 -2.6930 -0.1294
ATOMIC_POSITIONS crystal
B 0.0000 0.5000 0.0000
B 0.0000 0.0000 0.5000
B 0.5000 0.0000 0.0000
Cr 0.0000 0.0000 0.0000
H 0.5000 0.5000 0.5000
```

(4)
Entry from the Alexandria database: crystalline CrBH2 at its relaxed geometry (PBE). Values from VASP.

Summary:
The polymorph energy (0 for the lowest one) comes out at 0.00 kcal/mol of atoms. As for the crystal system: tetragonal.

Quantum ESPRESSO input file:
```
&SYSTEM
  ibrav = 0, nat = 8, ntyp = 3
/
ATOMIC_SPECIES
H 1.01 H.upf
B 10.81 B.upf
Cr 52.00 Cr.upf
CELL_PARAMETERS angstrom
-0.0408 0.8806 -2.8678
1.9682 -2.1567 -0.6902
-3.0996 -4.0313 -2.7631
ATOMIC_POSITIONS crystal
H 0.8750 0.8478 0.7500
H 0.5978 0.1250 0.2500
H 0.3750 0.4022 0.7500
H 0.1522 0.6250 0.2500
B 0.5000 0.5000 0.0000
B 0.2500 0.7500 0.5000
Cr 0.7500 0.2500 0.5000
Cr 0.0000 0.0000 0.0000
```

(5)
Entry from the Alexandria database: crystalline Cr2BHI at its relaxed geometry (PBE). Values from VASP.

Summary:
The calculated total energy comes out at -5.118 eV/atom. As for the crystal system: tetragonal.

Quantum ESPRESSO input file:
```
&SYSTEM
  ibrav = 0, nat = 5, ntyp = 4
/
ATOMIC_SPECIES
B 10.81 B.upf
Cr 52.00 Cr.upf
I 126.90 I.upf
H 1.01 H.upf
CELL_PARAMETERS angstrom
-1.8962 -1.6989 -3.3336
-0.9744 -2.3536 1.7537
-3.5003 2.1256 0.9078
ATOMIC_POSITIONS crystal
B 0.0000 0.5000 0.0000
Cr 0.0000 0.0000 0.5000
Cr 0.5000 0.0000 0.0000
I 0.5000 0.5000 0.5000
H 0.0000 0.0000 0.0000
```

(6)
Entry from the Alexandria database: crystalline LaCrB2H at its relaxed geometry (PBE). Values from VASP.

Summary:
The calculated total energy comes out at -4.536 eV/atom. As for the crystal system: tetragonal.

Quantum ESPRESSO input file:
```
&SYSTEM
  ibrav = 0, nat = 5, ntyp = 4
/
ATOMIC_SPECIES
Cr 52.00 Cr.upf
H 1.01 H.upf
B 10.81 B.upf
La 138.91 La.upf
CELL_PARAMETERS angstrom
-4.4036 -1.9630 0.0523
0.5816 -1.4265 -4.5689
1.5447 -3.4315 1.2680
ATOMIC_POSITIONS crystal
Cr 0.5000 0.5000 0.5000
H 0.0000 0.0000 0.5000
B 0.5000 0.0000 0.0000
B 0.0000 0.5000 0.0000
La 0.0000 0.0000 0.0000
```